[1]
Ho2Er2Th | Alexandria via LeMat-Bulk | PBE | relaxed; ΔH_f (0 K) = 0.05 eV per atom; crystal system = monoclinic; energy above the lowest structure with this stoichiometry = 0 meV per atom; calculated volume = 155.2 Å³/f.u.; final energy = -5.091 eV per atom
1.0
-1.6998 -1.1160 -2.8302
4.4644 0.4822 -2.8714
-0.1820 -8.1231 3.3123
Er Ho Th
2 2 1
Cartesian
1.8209 -2.0043 -2.4488
0.7617 -6.7525 0.0596
3.4654 -4.4998 -0.3070
0.8170 -3.1410 0.7479
0.0000 0.0000 0.0000

[2]
TlAuIN2 | Alexandria via LeMat-Bulk | PBE | relaxed; energy relative to the elements, uncorrected = 1.760 eV/atom; crystal system = tetragonal; energy above the lowest structure with this stoichiometry = 285 meV per atom; calculated volume = 143.4 Å³/f.u.; final energy = -3.009 eV per atom
1.0
4.2136 0.0000 0.0000
0.0000 4.2136 0.0000
0.0000 0.0000 8.0771
Au I N Tl
1 1 2 1
Cartesian
2.1068 2.1068 4.0386
0.0000 0.0000 4.0386
0.0000 2.1068 0.0000
2.1068 0.0000 0.0000
0.0000 0.0000 0.0000

[3]
HfBeF6 | Alexandria via LeMat-Bulk | PBE | relaxed; energy relative to the elements, uncorrected = -3.513 eV/atom; crystal system = trigonal; calculated volume = 102.9 Å³/f.u.; final energy = -6.626 eV per atom
1.0
5.2219 0.0067 0.0071
2.6052 4.5255 0.0103
2.6034 1.5048 4.3651
F Be Hf
6 1 1
Cartesian
5.5162 4.4259 3.2146
4.9143 1.6111 1.1678
6.2830 2.0509 3.2120
6.5877 3.4626 1.1729
4.1475 3.9861 1.1704
3.8428 2.5744 3.2095
5.2152 3.0185 2.1912
0.0000 0.0000 0.0000

[4]
RbLi2YCl6 | Alexandria via LeMat-Bulk | PBE | relaxed; energy relative to the elements, uncorrected = -2.053 eV/atom; crystal system = trigonal; calculated volume = 300.8 Å³/f.u.; final energy = -4.287 eV per atom
1.0
-2.9078 5.8519 1.0245
-4.5116 0.6590 4.7921
3.2600 4.1265 7.0716
Cl Y Rb Li
6 1 1 2
Cartesian
-4.5805 6.7323 5.4305
-1.4795 6.2658 9.9528
-4.1275 3.0605 6.3155
-2.1107 4.5962 3.4800
1.0146 4.0724 7.9985
0.5796 7.7895 7.0726
-2.1775 2.2710 2.2035
-4.2584 7.5895 8.6486
-7.2234 6.5790 5.9942
-4.5524 4.4747 4.2284

[5]
LaBe2Sb | Alexandria via LeMat-Bulk | PBE | relaxed; energy relative to the elements, uncorrected = 0.299 eV/atom; crystal system = tetragonal; energy above the lowest structure with this stoichiometry = 527 meV per atom; calculated volume = 85.1 Å³/f.u.; final energy = -3.826 eV per atom
1.0
-4.1665 3.7560 1.4613
-5.1026 -0.1675 -2.7455
3.6301 -3.6796 2.6241
Sb La Be
1 1 2
Cartesian
-2.5855 0.9354 1.7216
-4.6346 1.7943 -0.6421
0.0000 0.0000 0.0000
-3.0536 -1.0264 -0.3818

[6]
MgPa2Re | Alexandria via LeMat-Bulk | PBE | relaxed; ΔH_f (0 K) = 0.36 eV per atom; crystal system = trigonal; energy above the lowest structure with this stoichiometry = 306 meV per atom; calculated volume = 109.5 Å³/f.u.; final energy = -7.900 eV per atom
1.0
3.9124 0.0000 0.0000
1.9562 3.3882 0.0000
1.9562 1.1294 8.2632
Pa Re Mg
2 1 1
Cartesian
5.8686 3.3882 6.7073
1.9562 1.1294 1.5560
0.0000 0.0000 0.0000
3.9124 2.2588 4.1316

[7]
TaReRh2 | Alexandria via LeMat-Bulk | PBE | relaxed; ΔH_f (0 K) = -0.22 eV per atom; crystal system = tetragonal; energy above the lowest structure with this stoichiometry = 145 meV per atom; calculated volume = 60.9 Å³/f.u.; final energy = -9.975 eV per atom
1.0
-0.5060 3.4835 3.2651
-3.9952 2.4764 -0.9784
0.7791 -4.7134 0.4780
Re Rh Ta
1 2 1
Cartesian
-0.9888 0.8750 2.4432
0.0000 0.0000 0.0000
-2.7334 0.3715 0.3215
-2.2506 2.9799 1.1434

[8]
La2PmPd | Alexandria via LeMat-Bulk | PBE | relaxed; ΔH_f (0 K) = -0.29 eV per atom; crystal system = trigonal; energy above the lowest structure with this stoichiometry = 125 meV per atom; calculated volume = 131.7 Å³/f.u.; final energy = -5.238 eV per atom
1.0
-0.1156 2.9561 2.6519
-3.3771 0.8047 1.9318
1.3563 -4.8999 8.4974
La Pm Pd
2 1 1
Cartesian
0.8647 -3.6997 7.1379
-0.6748 0.0587 2.8813
-1.0654 -0.5764 6.5483
-0.9728 -2.3912 11.5514

[9]
AcIrN | Alexandria via LeMat-Bulk | PBE | relaxed; energy relative to the elements, uncorrected = -0.020 eV/atom; crystal system = trigonal; energy above the lowest structure with this stoichiometry = 772 meV per atom; calculated volume = 55.3 Å³/f.u.; final energy = -7.118 eV per atom
1.0
4.1390 0.0000 0.0000
0.0000 3.9271 0.0000
0.0000 -1.9635 3.4009
N Ir Ac
1 1 1
Cartesian
0.4871 0.0000 0.0000
0.7693 0.0000 2.2673
2.8825 1.9635 1.1336

[10]
K3NbSb | Alexandria via LeMat-Bulk | PBE | relaxed; energy relative to the elements, uncorrected = 0.980 eV/atom; crystal system = cubic; energy above the lowest structure with this stoichiometry = 0 meV per atom; calculated volume = 296.0 Å³/f.u.; final energy = -2.517 eV per atom
1.0
-0.5951 0.6375 -6.6071
0.8471 -6.5721 -0.7104
-6.5835 -0.9032 0.5058
K Sb Nb
3 1 1
Cartesian
-3.2917 -0.4516 0.2529
0.4235 -3.2860 -0.3552
-0.2975 0.3188 -3.3035
0.0000 0.0000 0.0000
-3.1658 -3.4189 -3.4059

[11]
KY3Cd | Alexandria via LeMat-Bulk | PBE | relaxed; ΔH_f (0 K) = 1.17 eV per atom; crystal system = cubic; energy above the lowest structure with this stoichiometry = 732 meV per atom; calculated volume = 162.8 Å³/f.u.; final energy = -3.111 eV per atom
1.0
5.4608 0.0000 0.0000
0.0000 5.4608 0.0000
0.0000 0.0000 5.4608
Cd Y K
1 3 1
Cartesian
2.7304 2.7304 2.7304
0.0000 2.7304 0.0000
0.0000 0.0000 2.7304
2.7304 0.0000 0.0000
0.0000 0.0000 0.0000

[12]
CaAlVNi | Alexandria via LeMat-Bulk | PBE | relaxed; ΔH_f (0 K) = -0.03 eV per atom; crystal system = trigonal; energy above the lowest structure with this stoichiometry = 32 meV per atom; calculated volume = 77.6 Å³/f.u.; final energy = -5.195 eV per atom
1.0
4.0903 0.0000 0.0000
-2.0452 3.5423 0.0000
0.0000 0.0000 16.0717
Al Ca Ni V
3 3 3 3
Cartesian
0.0000 0.0000 0.2410
2.0452 1.1808 5.5982
0.0000 2.3615 10.9555
0.0000 0.0000 13.0543
0.0000 2.3615 7.6970
2.0452 1.1808 2.3398
0.0000 0.0000 10.0866
0.0000 2.3615 4.7293
2.0452 1.1808 15.4438
2.0452 1.1808 9.7131
0.0000 2.3615 15.0704
0.0000 0.0000 4.3559